(1)
Below is a PBEsol-optimized structure of Re2Os, with properties calculated at the meta-GGA SCAN level.

* energy of formation from the pure elements: -0.3 eV per formula unit
* raw total energy: -428.70 eV/cell
* E above lowest polymorph: 0 meV/atom

Structure (POSCAR):
```
Re2Os
1.0
4.9961 -1.3697 0.0000
4.9961 1.3697 0.0000
-1.5633 0.0000 6.2806
Re Os
4 2
Direct
0.1363 0.1363 0.0271
0.1928 0.1928 0.6393
0.8072 0.8072 0.3607
0.8637 0.8637 0.9729
0.4723 0.4723 0.6949
0.5277 0.5277 0.3051
```


(2)
Below is a PBEsol-optimized structure of Ag2HBr, with properties calculated at the meta-GGA SCAN level.

* raw total energy: -171.93 eV/cell

Structure (POSCAR):
```
Ag2HBr
1.0
-2.7325 2.7325 4.5679
2.7325 -2.7325 4.5679
2.7325 2.7325 -4.5679
Ag H Br
4 2 2
Direct
0.3750 0.2399 0.3649
0.7601 0.1250 0.1351
0.8750 0.0101 0.6351
0.9899 0.6250 0.8649
0.0000 0.0000 0.0000
0.7500 0.2500 0.5000
0.2500 0.7500 0.5000
0.5000 0.5000 0.0000
```


(3)
Below is a PBEsol-optimized structure of CsCoP2Cl, with properties calculated at the meta-GGA SCAN level.

* raw total energy: -84.94 eV/cell
* E above lowest polymorph: 0 meV/atom
* E_form (uncorrected): -101 kJ/mol of formula units

Structure (POSCAR):
```
CsCoP2Cl
1.0
4.2753 0.0000 0.0000
0.0000 4.2753 0.0000
0.0000 0.0000 6.9460
Cs Co P Cl
1 1 2 1
Direct
0.0000 0.0000 0.0000
0.5000 0.5000 0.5000
0.0000 0.5000 0.5000
0.5000 0.0000 0.5000
0.5000 0.5000 0.0000
```


(4)
Below is a PBEsol-optimized structure of FeBrCl3, with properties calculated at the meta-GGA SCAN level.

* raw total energy: -63.16 eV/cell
* E_form (uncorrected): -158 kJ/mol of formula units

Structure (POSCAR):
```
FeBrCl3
1.0
4.6682 0.0000 0.0000
0.0000 4.6682 0.0000
0.0000 0.0000 4.6682
Fe Br Cl
1 1 3
Direct
0.0000 0.0000 0.0000
0.5000 0.5000 0.5000
0.0000 0.0000 0.5000
0.0000 0.5000 0.0000
0.5000 0.0000 0.0000
```


(5)
Below is a PBEsol-optimized structure of Ba2Sr7I18, with properties calculated at the meta-GGA SCAN level.

* raw total energy: -945.87 eV/cell
* E_form (uncorrected): -4775 kJ/mol of formula units

Structure (POSCAR):
```
Ba2Sr7I18
1.0
10.4348 0.0000 0.0000
1.2554 10.9321 0.0000
4.9181 1.8137 10.5154
Ba Sr I
2 7 18
Direct
0.0333 0.3776 0.2844
0.9667 0.6224 0.7156
0.1767 0.1701 0.6281
0.3308 0.7596 0.8814
0.3777 0.8936 0.2050
0.5000 0.5000 0.5000
0.6223 0.1064 0.7950
0.6692 0.2404 0.1186
0.8233 0.8299 0.3719
0.0414 0.6902 0.1409
0.0850 0.8328 0.4430
0.0996 0.8870 0.7681
0.2045 0.4625 0.4728
0.2667 0.5318 0.7798
0.2983 0.0283 0.9676
0.3300 0.1673 0.3006
0.4594 0.6474 0.0866
0.4936 0.8027 0.4322
0.5064 0.1973 0.5678
0.5406 0.3526 0.9134
0.6700 0.8327 0.6994
0.7017 0.9717 0.0324
0.7333 0.4682 0.2202
0.7955 0.5375 0.5272
0.9004 0.1130 0.2319
0.9150 0.1672 0.5570
0.9586 0.3098 0.8591
```


(6)
Below is a PBEsol-optimized structure of TaCl4F, with properties calculated at the meta-GGA SCAN level.

* raw total energy: -452.74 eV/cell
* E_form (uncorrected): -1076 kJ/mol of formula units

Structure (POSCAR):
```
TaCl4F
1.0
-6.4095 6.4095 4.1091
6.4095 -6.4095 4.1091
6.4095 6.4095 -4.1091
Ta Cl F
4 16 4
Direct
0.0304 0.7605 0.8227
0.2395 0.0623 0.2700
0.7923 0.9696 0.7300
0.9377 0.2077 0.1773
0.0259 0.3278 0.4235
0.1050 0.2469 0.7746
0.1748 0.6661 0.8920
0.2227 0.4776 0.1728
0.3048 0.0499 0.8272
0.3339 0.2259 0.5087
0.3976 0.9741 0.3019
0.4723 0.3304 0.2254
0.5224 0.6952 0.7451
0.6696 0.8950 0.1419
0.6722 0.0957 0.6981
0.7172 0.8252 0.4913
0.7531 0.5277 0.8581
0.7741 0.2828 0.1080
0.9043 0.6024 0.5765
0.9501 0.7773 0.2549
0.0785 0.1210 0.2054
0.1269 0.9215 0.0425
0.8790 0.0844 0.9575
0.9156 0.8731 0.7946
```


(7)
Below is a PBEsol-optimized structure of Na2P2H14O13, with properties calculated at the meta-GGA SCAN level.

* raw total energy: -411.19 eV/cell

Structure (POSCAR):
```
Na2P2H14O13
1.0
6.9280 -3.3745 0.0000
6.9280 3.3745 0.0000
-6.0532 0.0000 11.8528
Na P H O
4 4 28 26
Direct
0.1201 0.3587 0.2312
0.3587 0.1201 0.7312
0.6413 0.8799 0.2688
0.8799 0.6413 0.7688
0.3645 0.6349 0.8615
0.3651 0.6355 0.6385
0.6349 0.3645 0.3615
0.6355 0.3651 0.1385
0.0120 0.9830 0.3909
0.0170 0.9880 0.1091
0.0361 0.2842 0.8852
0.0563 0.5873 0.4448
0.1163 0.7722 0.0102
0.1626 0.4182 0.5993
0.2207 0.3468 0.9386
0.2278 0.8837 0.4898
0.2816 0.6761 0.3568
0.2842 0.0361 0.3852
0.3239 0.7184 0.1432
0.3468 0.2207 0.4386
0.4127 0.9437 0.0552
0.4182 0.1626 0.0993
0.5818 0.8374 0.9007
0.5873 0.0563 0.9448
0.6532 0.7793 0.5614
0.6761 0.2816 0.8568
0.7158 0.9639 0.6148
0.7184 0.3239 0.6432
0.7722 0.1163 0.5102
0.7793 0.6532 0.0614
0.8374 0.5818 0.4007
0.8837 0.2278 0.9898
0.9437 0.4127 0.5552
0.9639 0.7158 0.1148
0.9830 0.0120 0.8909
0.9880 0.0170 0.6091
0.0777 0.3824 0.6194
0.1044 0.8171 0.0922
0.1066 0.3404 0.8693
0.1444 0.7378 0.8924
0.1829 0.8956 0.4078
0.2622 0.8556 0.6076
0.2721 0.7279 0.7500
0.2893 0.4794 0.5522
0.3404 0.1066 0.3693
0.3728 0.4902 0.3235
0.3824 0.0777 0.1194
0.4794 0.2893 0.0522
0.4902 0.3728 0.8235
0.5098 0.6272 0.1765
0.5206 0.7107 0.9478
0.6176 0.9223 0.8806
0.6272 0.5098 0.6765
0.6596 0.8934 0.6307
0.7107 0.5206 0.4478
0.7279 0.2721 0.2500
0.7378 0.1444 0.3924
0.8171 0.1044 0.5922
0.8556 0.2622 0.1076
0.8934 0.6596 0.1307
0.8956 0.1829 0.9078
0.9223 0.6176 0.3806
```


(8)
Below is a PBEsol-optimized structure of CsPbSCl2, with properties calculated at the meta-GGA SCAN level.

* raw total energy: -139.49 eV/cell
* E above lowest polymorph: 1118 meV/atom
* E_form (uncorrected): -30 kJ/mol of formula units

Structure (POSCAR):
```
CsPbSCl2
1.0
5.8946 0.0000 0.0000
0.0000 5.8946 0.0000
0.0000 0.0000 5.3878
Cs Pb S Cl
1 1 1 2
Direct
0.0000 0.0000 0.0000
0.5000 0.5000 0.5000
0.0000 0.0000 0.5000
0.0000 0.5000 0.0000
0.5000 0.0000 0.0000
```


(9)
Below is a PBEsol-optimized structure of UTeN, with properties calculated at the meta-GGA SCAN level.

* raw total energy: -307.63 eV/cell
* E_form (uncorrected): -361 kJ/mol of formula units

Structure (POSCAR):
```
UTeN
1.0
3.8705 0.0000 0.0000
0.0000 3.8705 0.0000
0.0000 0.0000 7.4170
U Te N
2 2 2
Direct
0.2500 0.2500 0.1535
0.7500 0.7500 0.8465
0.2500 0.2500 0.6306
0.7500 0.7500 0.3694
0.2500 0.7500 0.0000
0.7500 0.2500 0.0000
```


(10)
Below is a PBEsol-optimized structure of Ca2Y2Fe, with properties calculated at the meta-GGA SCAN level.

* energy of formation from the pure elements: 3.6 eV per formula unit
* raw total energy: -89.54 eV/cell

Structure (POSCAR):
```
Ca2Y2Fe
1.0
-1.9986 1.9986 9.0544
1.9986 -1.9986 9.0544
1.9986 1.9986 -9.0544
Ca Y Fe
2 2 1
Direct
0.2500 0.7500 0.5000
0.7500 0.2500 0.5000
0.0825 0.0825 0.0000
0.9175 0.9175 0.0000
0.5000 0.5000 0.0000
```


(11)
Below is a PBEsol-optimized structure of TcBi2SI, with properties calculated at the meta-GGA SCAN level.

* raw total energy: -234.92 eV/cell
* E_form (uncorrected): 354 kJ/mol of formula units

Structure (POSCAR):
```
TcBi2SI
1.0
5.6326 0.0000 0.0000
0.0000 5.6326 0.0000
0.0000 0.0000 4.2831
Tc Bi S I
1 2 1 1
Direct
0.0000 0.0000 0.0000
0.0000 0.5000 0.5000
0.5000 0.0000 0.5000
0.0000 0.0000 0.5000
0.5000 0.5000 0.0000
```


(12)
Below is a PBEsol-optimized structure of TiP2O7, with properties calculated at the meta-GGA SCAN level.

* raw total energy: -215.55 eV/cell
* E above lowest polymorph: 1 meV/atom
* E_form (uncorrected): -2637 kJ/mol of formula units

Structure (POSCAR):
```
TiP2O7
1.0
4.8709 0.0000 0.0000
0.0000 8.0407 0.0000
-1.8434 0.0000 6.7594
Ti P O
2 4 14
Direct
0.2127 0.0000 0.2308
0.7873 0.5000 0.7692
0.2466 0.7408 0.6147
0.3880 0.3149 0.0026
0.6120 0.8149 0.9974
0.7534 0.2408 0.3853
0.0147 0.1825 0.3246
0.1440 0.4387 0.9510
0.1643 0.8489 0.4301
0.2846 0.1380 0.0210
0.4223 0.8246 0.1388
0.4233 0.8661 0.7810
0.4418 0.5959 0.5973
0.5582 0.0959 0.4027
0.5767 0.3661 0.2190
0.5777 0.3246 0.8612
0.7154 0.6380 0.9790
0.8357 0.3489 0.5699
0.8560 0.9387 0.0490
0.9853 0.6825 0.6754
```


(13)
Below is a PBEsol-optimized structure of AlFeF2, with properties calculated at the meta-GGA SCAN level.

* raw total energy: -75.06 eV/cell
* E_form (uncorrected): -441 kJ/mol of formula units

Structure (POSCAR):
```
AlFeF2
1.0
-2.7975 2.7975 4.1575
2.7975 -2.7975 4.1575
2.7975 2.7975 -4.1575
Al Fe F
2 2 4
Direct
0.0000 0.0000 0.0000
0.7500 0.2500 0.5000
0.2500 0.7500 0.5000
0.5000 0.5000 0.0000
0.3750 0.1205 0.2455
0.8705 0.6250 0.7455
0.8750 0.1295 0.7545
0.8795 0.1250 0.2545
```


(14)
Below is a PBEsol-optimized structure of Ca2ScInW, with properties calculated at the meta-GGA SCAN level.

* energy of formation from the pure elements: 5.3 eV per formula unit
* raw total energy: -131.37 eV/cell

Structure (POSCAR):
```
Ca2ScInW
1.0
5.2371 0.0000 0.0000
0.0000 5.2371 0.0000
0.0000 0.0000 5.3484
Ca Sc In W
2 1 1 1
Direct
0.0000 0.5000 0.0000
0.5000 0.0000 0.0000
0.0000 0.0000 0.5000
0.5000 0.5000 0.5000
0.5000 0.5000 0.0000
```


(15)
Below is a PBEsol-optimized structure of KGeSbI2, with properties calculated at the meta-GGA SCAN level.

* raw total energy: -134.62 eV/cell
* E_form (uncorrected): 341 kJ/mol of formula units

Structure (POSCAR):
```
KGeSbI2
1.0
6.0552 0.0000 0.0000
0.0000 6.0552 0.0000
0.0000 0.0000 6.2017
K Ge Sb I
1 1 1 2
Direct
0.0000 0.0000 0.0000
0.5000 0.5000 0.5000
0.0000 0.0000 0.5000
0.0000 0.5000 0.0000
0.5000 0.0000 0.0000
```


(16)
Below is a PBEsol-optimized structure of IrRu2Rh, with properties calculated at the meta-GGA SCAN level.

* energy of formation from the pure elements: 0.0 eV per formula unit
* raw total energy: -174.54 eV/cell
* E above lowest polymorph: 1 meV/atom

Structure (POSCAR):
```
IrRu2Rh
1.0
-1.8856 1.8856 3.7999
1.8856 -1.8856 3.7999
1.8856 1.8856 -3.7999
Ir Ru Rh
1 2 1
Direct
0.0000 0.0000 0.0000
0.2500 0.7500 0.5000
0.7500 0.2500 0.5000
0.5000 0.5000 0.0000
```


(17)
Below is a PBEsol-optimized structure of Rb2LuAgCl6, with properties calculated at the meta-GGA SCAN level.

* raw total energy: -196.48 eV/cell
* E_form (uncorrected): -1970 kJ/mol of formula units

Structure (POSCAR):
```
Rb2LuAgCl6
1.0
0.0000 5.1949 5.1949
5.1949 0.0000 5.1949
5.1949 5.1949 0.0000
Rb Lu Ag Cl
2 1 1 6
Direct
0.2500 0.2500 0.2500
0.7500 0.7500 0.7500
0.0000 0.0000 0.0000
0.5000 0.5000 0.5000
0.2445 0.2445 0.7555
0.2445 0.7555 0.2445
0.2445 0.7555 0.7555
0.7555 0.2445 0.2445
0.7555 0.2445 0.7555
0.7555 0.7555 0.2445
```


(18)
Below is a PBEsol-optimized structure of LaBe2Mo, with properties calculated at the meta-GGA SCAN level.

* energy of formation from the pure elements: 3.2 eV per formula unit
* raw total energy: -83.51 eV/cell
* E above lowest polymorph: 216 meV/atom

Structure (POSCAR):
```
LaBe2Mo
1.0
-1.9918 1.9918 4.0173
1.9918 -1.9918 4.0173
1.9918 1.9918 -4.0173
La Be Mo
1 2 1
Direct
0.0000 0.0000 0.0000
0.2500 0.7500 0.5000
0.5000 0.5000 0.0000
0.7500 0.2500 0.5000
```


(19)
Below is a PBEsol-optimized structure of Cu2SiS3, with properties calculated at the meta-GGA SCAN level.

* raw total energy: -145.03 eV/cell
* E_form (uncorrected): -310 kJ/mol of formula units

Structure (POSCAR):
```
Cu2SiS3
1.0
5.4061 -3.1450 0.0000
5.4061 3.1450 0.0000
0.0000 0.0000 6.0072
Cu Si S
4 2 6
Direct
0.0028 0.6747 0.5000
0.3253 0.9972 0.5000
0.6747 0.0028 0.0000
0.9972 0.3253 0.0000
0.3302 0.6698 0.9701
0.6698 0.3302 0.4701
0.0111 0.6614 0.8730
0.3386 0.9889 0.8730
0.3415 0.6585 0.3437
0.6585 0.3415 0.8437
0.6614 0.0111 0.3730
0.9889 0.3386 0.3730
```


(20)
Below is a PBEsol-optimized structure of LiReBr2, with properties calculated at the meta-GGA SCAN level.

* raw total energy: -110.92 eV/cell
* E above lowest polymorph: 76 meV/atom
* E_form (uncorrected): 143 kJ/mol of formula units

Structure (POSCAR):
```
LiReBr2
1.0
3.8330 -1.6156 0.0000
3.8330 1.6156 0.0000
-1.3131 0.0000 5.7165
Li Re Br
1 1 2
Direct
0.0000 0.0000 0.0000
0.5000 0.5000 0.5000
0.2482 0.2482 0.7283
0.7518 0.7518 0.2717
```